The following is a DFT calculation (GGA-PBE) of a geometry-optimized CaTlPdSeF structure.

Summary:
- space-group type = No. 107
- energy above the most stable polymorph in this dataset (meV/atom) = 56
- crystal system = tetragonal
- formation energy (no corrections) (eV/atom) = -1.42

a b c (Å): 4.060 4.060 14.778
angles (deg): 90.00 90.00 90.00
Positions (direct):
Ca 0.000 0.000 0.322
Ca 0.500 0.500 0.822
Tl 0.500 0.500 0.572
Tl 0.000 0.000 0.072
F 0.500 0.500 0.966
F 0.000 0.000 0.466
Se 0.500 0.500 0.283
Se 0.000 0.000 0.783
Pd 0.500 0.500 0.118
Pd 0.000 0.000 0.618

***

The following is a DFT calculation (GGA-PBE) of a geometry-optimized RbNdAg2Cl6 structure.

Summary:
- space-group type = No. 1
- crystal system = triclinic
- formation energy (no corrections) (eV/atom) = -1.47

a b c (Å): 7.251 7.247 7.774
angles (deg): 62.21 62.16 59.94
Positions (direct):
Cl 0.258 0.917 0.232
Cl 0.593 0.257 0.231
Cl 0.334 0.733 0.754
Cl 0.181 0.335 0.753
Cl 0.733 0.180 0.752
Cl 0.917 0.593 0.232
Rb 0.800 0.800 0.601
Ag 0.520 0.520 0.441
Ag 0.004 0.005 0.986
Nd 0.322 0.322 0.033

***

The following is a DFT calculation (GGA-PBE) of a geometry-optimized RbSiPdPb2 structure.

Summary:
- space-group type = No. 123
- crystal system = tetragonal
- formation energy (no corrections) (eV/atom) = 0.17

a b c (Å): 5.718 4.729 5.718
angles (deg): 90.00 90.00 90.00
Positions (direct):
Pd 0.000 0.000 0.000
Si 0.000 0.500 0.000
Pb 0.500 0.000 0.000
Pb 0.000 0.000 0.500
Rb 0.500 0.500 0.500

***

The following is a DFT calculation (GGA-PBE) of a geometry-optimized NaBO2 structure.

Summary:
- space-group type = No. 166
- crystal system = trigonal
- formation energy (no corrections) (eV/atom) = -2.11

a b c (Å): 5.517 5.517 5.517
angles (deg): 35.39 35.39 35.39
Positions (direct):
O 0.081 0.081 0.081
O 0.919 0.919 0.919
B 0.000 0.000 0.000
Na 0.500 0.500 0.500

***

The following is a DFT calculation (GGA-PBE) of a geometry-optimized ZrAlSi structure.

Summary:
- space-group type = No. 8
- crystal system = monoclinic
- formation energy (no corrections) (eV/atom) = -0.51

a b c (Å): 5.680 3.951 9.634
angles (deg): 90.00 104.81 90.00
Positions (direct):
Si 0.018 0.000 0.546
Si 0.018 0.500 0.046
Si 0.405 0.500 0.766
Si 0.405 0.000 0.266
Al 0.549 0.000 0.586
Al 0.710 0.500 0.389
Al 0.549 0.500 0.086
Al 0.710 0.000 0.889
Zr 0.238 0.500 0.444
Zr 0.887 0.500 0.706
Zr 0.238 0.000 0.944
Zr 0.887 0.000 0.206

***

The following is a DFT calculation (GGA-PBE) of a geometry-optimized Ba2Cd3Hg4Bi structure.

Summary:
- space-group type = No. 115
- energy of formation (eV per atom) = -0.3444
- crystal system = tetragonal

a b c (Å): 4.872 4.872 12.847
angles (deg): 90.00 90.00 90.00
Positions (direct):
Bi 0.500 0.500 0.500
Cd 0.000 0.500 0.130
Cd 0.500 0.000 0.870
Cd 0.000 0.000 0.500
Hg 0.500 0.000 0.649
Hg 0.000 0.000 0.000
Hg 0.500 0.500 0.000
Hg 0.000 0.500 0.351
Ba 0.000 0.500 0.752
Ba 0.500 0.000 0.248

***

The following is a DFT calculation (GGA-PBE) of a geometry-optimized LiOsRh structure.

Summary:
- space-group type = No. 187
- energy above the most stable polymorph in this dataset (meV/atom) = 228
- energy of formation (eV per atom) = 0.2182
- crystal system = hexagonal

a b c (Å): 4.353 4.353 5.276
angles (deg): 90.00 90.00 120.00
Positions (direct):
Rh 0.333 0.667 0.249
Rh 0.333 0.667 0.751
Os 0.000 0.000 0.276
Os 0.000 0.000 0.724
Li 0.667 0.333 0.500
Li 0.667 0.333 0.000

***

The following is a DFT calculation (GGA-PBE) of a geometry-optimized SrLaNi2 structure.

Summary:
- space-group type = No. 225
- energy above the most stable polymorph in this dataset (meV/atom) = 125
- energy of formation (eV per atom) = -0.0431
- crystal system = cubic

a b c (Å): 5.051 5.051 5.051
angles (deg): 60.00 60.00 60.00
Positions (direct):
Ni 0.250 0.250 0.250
Ni 0.750 0.750 0.750
La 0.500 0.500 0.500
Sr 0.000 0.000 0.000

***

The following is a DFT calculation (GGA-PBE) of a geometry-optimized LiZnAs2 structure.

Summary:
- space-group type = No. 65
- energy of formation (eV per atom) = -0.0754
- crystal system = orthorhombic

a b c (Å): 3.011 3.011 7.890
angles (deg): 90.00 90.00 102.88
Positions (direct):
As 0.000 0.000 0.503
As 0.000 0.000 0.997
Zn 0.500 0.500 0.750
Li 0.500 0.500 0.250

***

The following is a DFT calculation (GGA-PBE) of a geometry-optimized CaHgGeAu structure.

Summary:
- space-group type = No. 216
- energy of formation (eV per atom) = -0.3320
- crystal system = cubic

a b c (Å): 5.009 5.009 5.009
angles (deg): 60.00 60.00 60.00
Positions (direct):
Au 0.500 0.500 0.500
Ge 0.250 0.250 0.250
Ca 0.750 0.750 0.750
Hg 0.000 0.000 0.000

***

The following is a DFT calculation (GGA-PBE) of a geometry-optimized CaCdCl2 structure.

Summary:
- space-group type = No. 12
- energy above the most stable polymorph in this dataset (meV/atom) = 0
- crystal system = monoclinic
- formation energy (no corrections) (eV/atom) = -1.64

a b c (Å): 4.075 4.075 10.432
angles (deg): 79.89 79.89 60.03
Positions (direct):
Cd 0.250 0.250 0.250
Cl 0.041 0.041 0.890
Cl 0.459 0.459 0.610
Ca 0.750 0.750 0.750

***

The following is a DFT calculation (GGA-PBE) of a geometry-optimized Er4Sc2Tl structure.

Summary:
- space-group type = No. 11
- energy of formation (eV per atom) = 0.0007
- crystal system = monoclinic

a b c (Å): 5.319 6.646 11.499
angles (deg): 90.00 103.39 90.00
Each line ends with the local moment (μB).
Positions (direct):
Sc 0.217 0.250 0.433  0.03
Sc 0.783 0.750 0.567  0.03
Sc 0.486 0.250 0.973  0.41
Sc 0.514 0.750 0.027  0.41
Er 0.070 0.250 0.142  0.10
Er 0.210 0.750 0.422  0.03
Er 0.647 0.492 0.295  0.06
Er 0.353 0.992 0.705  0.06
Er 0.790 0.250 0.578  0.03
Er 0.647 0.008 0.295  0.06
Er 0.353 0.508 0.705  0.06
Er 0.930 0.750 0.858  0.10
Tl 0.074 0.750 0.147  0.00
Tl 0.926 0.250 0.853  0.00